# Tc3NiTe GGA-PBE relaxed
# Formation energy without anion corrections (meV per atom): 1345
# Excess energy over the best structure of this formula in the dataset (meV per atom): 0
# Crystal system: cubic
data_Tc3NiTe
_space_group_name_H-M_alt 'P m -3 m'
_space_group_IT_number 221
_space_group_name_Hall '-P 4 2 3'
_cell_length_a 4.506
_cell_length_b 4.506
_cell_length_c 4.506
_cell_angle_alpha 90.00
_cell_angle_beta 90.00
_cell_angle_gamma 90.00
loop_
_atom_site_label
_atom_site_type_symbol
_atom_site_fract_x
_atom_site_fract_y
_atom_site_fract_z
Tc1 Tc 0.000 0.000 0.500
Ni1 Ni 0.000 0.000 0.000
Te1 Te 0.500 0.500 0.500